#a
Below is crystalline CdInBr2 at its relaxed geometry, with properties calculated at the PBE-GGA level.

Cell and atoms, written as POSCAR:
```
CdInBr2
1.0
1.990 -3.369 0.000
1.990 3.369 0.000
0.000 0.000 9.686
Cd In Br
1 1 2
Direct
0.000 0.000 0.000
0.500 0.500 0.768
0.000 0.000 0.563
0.500 0.500 0.187
```


#b
Below is crystalline CdInBr2 at its relaxed geometry, with properties calculated at the PBE-GGA level.

Cell and atoms, written as POSCAR:
```
CdInBr2
1.0
4.567 0.000 0.000
0.000 4.567 0.000
0.000 0.000 6.445
Cd In Br
1 1 2
Direct
0.000 0.000 0.000
0.500 0.500 0.501
0.000 0.000 0.503
0.500 0.500 0.001
```


#c
Below is crystalline CdInBr2 at its relaxed geometry, with properties calculated at the PBE-GGA level.

Cell and atoms, written as POSCAR:
```
CdInBr2
1.0
4.031 -2.401 0.000
4.031 2.401 0.000
-2.839 0.000 6.815
Cd In Br
1 1 2
Direct
0.000 0.000 0.000
0.500 0.500 0.500
0.258 0.258 0.772
0.742 0.742 0.228
```


#b ends up most stable, edging out the next structure by 0.024 eV/atom.


#a
Below is crystalline CdInBr2 at its relaxed geometry, with properties calculated at the PBE-GGA level.

Cell and atoms, written as POSCAR:
```
CdInBr2
1.0
8.683 -1.918 0.000
8.683 1.918 0.000
-1.003 0.000 4.071
Cd In Br
1 1 2
Direct
0.000 0.000 0.000
0.355 0.355 0.858
0.555 0.555 0.555
0.781 0.781 0.284
```


#b
Below is crystalline CdInBr2 at its relaxed geometry, with properties calculated at the PBE-GGA level.

Cell and atoms, written as POSCAR:
```
CdInBr2
1.0
-2.491 3.113 3.954
2.491 -3.113 3.954
2.491 3.113 -3.954
Cd In Br
1 1 2
Direct
0.000 0.000 0.000
0.500 0.500 0.000
0.228 0.728 0.500
0.772 0.272 0.500
```


#a ends up most stable, edging out the next structure by 0.087 eV/atom.


#a
Below is crystalline CdInBr at its relaxed geometry, with properties calculated at the PBE-GGA level.

Cell and atoms, written as POSCAR:
```
CdInBr
1.0
-1.906 1.906 6.019
1.906 -1.906 6.019
1.906 1.906 -6.019
Cd In Br
1 1 1
Direct
0.000 0.000 0.000
0.335 0.335 0.000
0.663 0.663 0.000
```


#b
Below is crystalline CdInBr at its relaxed geometry, with properties calculated at the PBE-GGA level.

Cell and atoms, written as POSCAR:
```
CdInBr
1.0
4.594 0.000 0.000
-2.297 3.979 0.000
0.000 0.000 5.468
Cd In Br
1 1 1
Direct
0.000 0.000 0.000
0.667 0.333 0.315
0.333 0.667 0.644
```


#b ends up most stable, edging out the next structure by 0.024 eV/atom.


#a
Below is crystalline Cd2InBr2 at its relaxed geometry, with properties calculated at the PBE-GGA level.

Cell and atoms, written as POSCAR:
```
Cd2InBr2
1.0
-3.018 3.018 4.390
3.018 -3.018 4.390
3.018 3.018 -4.390
Cd In Br
2 1 2
Direct
0.156 0.156 0.000
0.844 0.844 0.000
0.500 0.500 0.000
0.250 0.750 0.500
0.750 0.250 0.500
```


#b
Below is crystalline Cd2InBr2 at its relaxed geometry, with properties calculated at the PBE-GGA level.

Cell and atoms, written as POSCAR:
```
Cd2InBr2
1.0
8.113 0.000 0.000
0.000 8.113 0.000
0.000 0.000 4.717
Cd In Br
4 2 4
Direct
0.120 0.380 0.000
0.380 0.880 0.000
0.620 0.120 0.000
0.880 0.620 0.000
0.000 0.000 0.000
0.500 0.500 0.000
0.230 0.730 0.500
0.270 0.230 0.500
0.730 0.770 0.500
0.770 0.270 0.500
```


#a ends up most stable, edging out the next structure by 0.039 eV/atom.


#a
Below is crystalline Cd3InBr at its relaxed geometry, with properties calculated at the PBE-GGA level.

Cell and atoms, written as POSCAR:
```
Cd3InBr
1.0
5.510 0.000 0.000
0.000 5.510 0.000
0.000 0.000 5.510
Cd In Br
3 1 1
Direct
0.000 0.000 0.500
0.000 0.500 0.000
0.500 0.000 0.000
0.000 0.000 0.000
0.500 0.500 0.500
```


#b
Below is crystalline Cd3InBr at its relaxed geometry, with properties calculated at the PBE-GGA level.

Cell and atoms, written as POSCAR:
```
Cd3InBr
1.0
5.797 0.000 0.000
0.000 5.797 0.000
0.000 0.000 5.797
Cd In Br
3 1 1
Direct
0.000 0.000 0.500
0.000 0.500 0.000
0.500 0.000 0.000
0.500 0.500 0.500
0.000 0.000 0.000
```


#a ends up most stable, edging out the next structure by 0.398 eV/atom.


#a
Below is crystalline Cd2In3Br8 at its relaxed geometry, with properties calculated at the PBE-GGA level.

Cell and atoms, written as POSCAR:
```
Cd2In3Br8
1.0
7.303 -4.788 0.000
7.303 4.788 0.000
-2.818 0.000 7.008
Cd In Br
2 3 8
Direct
0.179 0.179 0.137
0.821 0.821 0.863
0.229 0.771 0.500
0.500 0.500 0.000
0.771 0.229 0.500
0.107 0.640 0.747
0.134 0.134 0.760
0.360 0.893 0.253
0.379 0.379 0.300
0.621 0.621 0.700
0.640 0.107 0.747
0.866 0.866 0.240
0.893 0.360 0.253
```


#b
Below is crystalline Cd2In3Br8 at its relaxed geometry, with properties calculated at the PBE-GGA level.

Cell and atoms, written as POSCAR:
```
Cd2In3Br8
1.0
4.105 2.370 8.358
-4.105 2.370 8.358
0.000 -4.740 8.358
Cd In Br
2 3 8
Direct
0.096 0.096 0.096
0.904 0.904 0.904
0.316 0.316 0.316
0.500 0.500 0.500
0.684 0.684 0.684
0.201 0.201 0.201
0.245 0.245 0.709
0.245 0.709 0.245
0.291 0.755 0.755
0.709 0.245 0.245
0.755 0.291 0.755
0.755 0.755 0.291
0.799 0.799 0.799
```


#a ends up most stable, edging out the next structure by 0.055 eV/atom.


#a
Below is crystalline CdInBr4 at its relaxed geometry, with properties calculated at the PBE-GGA level.

Cell and atoms, written as POSCAR:
```
CdInBr4
1.0
7.682 -2.066 0.000
7.682 2.066 0.000
-3.362 0.000 6.433
Cd In Br
1 1 4
Direct
0.000 0.000 0.000
0.500 0.500 0.500
0.120 0.120 0.434
0.384 0.384 0.040
0.616 0.616 0.960
0.880 0.880 0.566
```


#b
Below is crystalline CdInBr4 at its relaxed geometry, with properties calculated at the PBE-GGA level.

Cell and atoms, written as POSCAR:
```
CdInBr4
1.0
3.647 -9.673 0.000
3.647 9.673 0.000
-0.428 0.000 6.925
Cd In Br
2 2 8
Direct
0.068 0.932 0.750
0.932 0.068 0.250
0.432 0.568 0.250
0.568 0.432 0.750
0.096 0.412 0.398
0.181 0.271 0.927
0.271 0.181 0.427
0.412 0.096 0.898
0.588 0.904 0.102
0.729 0.819 0.573
0.819 0.729 0.073
0.904 0.588 0.602
```


#c
Below is crystalline CdInBr4 at its relaxed geometry, with properties calculated at the PBE-GGA level.

Cell and atoms, written as POSCAR:
```
CdInBr4
1.0
0.000 4.610 4.610
4.610 0.000 4.610
4.610 4.610 0.000
Cd In Br
1 1 4
Direct
0.000 0.000 0.000
0.750 0.750 0.750
0.374 0.374 0.374
0.374 0.374 0.877
0.374 0.877 0.374
0.877 0.374 0.374
```


#a ends up most stable, edging out the next structure by 0.052 eV/atom.


#a
Below is crystalline KCdInSbBr at its relaxed geometry, with properties calculated at the PBE-GGA level.

Cell and atoms, written as POSCAR:
```
KCdInSbBr
1.0
4.092 -2.361 0.000
4.092 2.361 0.000
-2.731 0.000 9.829
K Cd In Sb Br
1 1 1 1 1
Direct
0.000 0.000 0.000
0.184 0.184 0.555
0.428 0.428 0.286
0.815 0.815 0.448
0.280 0.280 0.841
```


#b
Below is crystalline KCdInSbBr at its relaxed geometry, with properties calculated at the PBE-GGA level.

Cell and atoms, written as POSCAR:
```
KCdInSbBr
1.0
2.419 1.396 8.933
-2.419 1.396 8.933
0.000 -2.793 8.933
K Cd In Sb Br
1 1 1 1 1
Direct
0.000 0.000 0.000
0.438 0.438 0.438
0.193 0.193 0.193
0.776 0.776 0.776
0.603 0.603 0.603
```


#b ends up most stable, edging out the next structure by 0.034 eV/atom.


#a
Below is crystalline CdIr2Br at its relaxed geometry, with properties calculated at the PBE-GGA level.

Cell and atoms, written as POSCAR:
```
CdIr2Br
1.0
1.499 0.865 8.778
-1.499 0.865 8.778
0.000 -1.730 8.778
Cd Ir Br
1 2 1
Direct
0.000 0.000 0.000
0.247 0.247 0.247
0.753 0.753 0.753
0.500 0.500 0.500
```


#b
Below is crystalline CdIr2Br at its relaxed geometry, with properties calculated at the PBE-GGA level.

Cell and atoms, written as POSCAR:
```
CdIr2Br
1.0
3.008 0.000 0.000
0.000 3.814 0.000
0.000 0.000 6.013
Cd Ir Br
1 2 1
Direct
0.000 0.000 0.000
0.500 0.500 0.249
0.500 0.500 0.751
0.000 0.000 0.500
```


#c
Below is crystalline CdIr2Br at its relaxed geometry, with properties calculated at the PBE-GGA level.

Cell and atoms, written as POSCAR:
```
CdIr2Br
1.0
2.858 -4.806 0.000
2.858 4.806 0.000
-1.585 0.000 2.577
Cd Ir Br
1 2 1
Direct
0.000 0.000 0.000
0.000 0.500 0.500
0.500 0.000 0.500
0.500 0.500 0.000
```


#a ends up most stable, edging out the next structure by 0.078 eV/atom.


#a
Below is crystalline CdIr2Br at its relaxed geometry, with properties calculated at the PBE-GGA level.

Cell and atoms, written as POSCAR:
```
CdIr2Br
1.0
2.991 0.000 0.000
0.000 2.991 0.000
0.000 0.000 7.660
Cd Ir Br
1 2 1
Direct
0.000 0.000 0.000
0.500 0.500 0.263
0.500 0.500 0.737
0.000 0.000 0.500
```


#b
Below is crystalline CdIr2Br at its relaxed geometry, with properties calculated at the PBE-GGA level.

Cell and atoms, written as POSCAR:
```
CdIr2Br
1.0
-1.473 2.435 5.070
1.473 -2.435 5.070
1.473 2.435 -5.070
Cd Ir Br
1 2 1
Direct
0.000 0.000 0.000
0.269 0.769 0.500
0.485 0.485 0.000
0.705 0.205 0.500
```


#b ends up most stable, edging out the next structure by 0.081 eV/atom.


#a
Below is crystalline CdIr2Br at its relaxed geometry, with properties calculated at the PBE-GGA level.

Cell and atoms, written as POSCAR:
```
CdIr2Br
1.0
2.990 -3.869 0.000
2.990 3.869 0.000
0.000 0.000 2.987
Cd Ir Br
1 2 1
Direct
0.000 0.000 0.000
0.000 0.500 0.500
0.500 0.000 0.500
0.500 0.500 0.000
```


#b
Below is crystalline CdIr2Br at its relaxed geometry, with properties calculated at the PBE-GGA level.

Cell and atoms, written as POSCAR:
```
CdIr2Br
1.0
3.040 0.000 0.000
0.000 4.635 0.000
-0.651 0.000 5.146
Cd Ir Br
1 2 1
Direct
0.000 0.000 0.000
0.364 0.500 0.233
0.636 0.500 0.767
0.500 0.000 0.500
```


#b ends up most stable, edging out the next structure by 0.165 eV/atom.


#a
Below is crystalline CdIr2Br at its relaxed geometry, with properties calculated at the PBE-GGA level.

Cell and atoms, written as POSCAR:
```
CdIr2Br
1.0
1.442 -2.596 0.000
1.442 2.596 0.000
0.000 0.000 9.295
Cd Ir Br
1 2 1
Direct
0.000 0.000 0.000
0.500 0.500 0.256
0.500 0.500 0.744
0.000 0.000 0.500
```


#b
Below is crystalline CdIr2Br at its relaxed geometry, with properties calculated at the PBE-GGA level.

Cell and atoms, written as POSCAR:
```
CdIr2Br
1.0
2.746 0.000 0.000
0.000 3.812 0.000
0.000 0.000 9.030
Cd Ir Br
1 2 1
Direct
0.000 0.000 0.000
0.000 0.000 0.324
0.500 0.500 0.214
0.500 0.500 0.724
```


#b ends up most stable, edging out the next structure by 0.327 eV/atom.